# 1
8
Lattice="-4.4039 4.4039 3.7545 4.4039 -4.4039 3.7545 4.4039 4.4039 -3.7545" Properties=species:S:1:pos:R:3 comment="SrCaTl2 | the Alexandria database | PBE | relaxed" space_group=I-42d vol_a3_per_atom=36.4 ef_ev_per_fu=-0.54 mass_density_g_cm3=6.12 total_magnetization_mub_per_cell=0.000 final_energy_ev_per_atom=-2.24 pbc="T T T"
Sr 0.0000 0.0000 0.0000
Sr 0.0000 4.4039 1.8772
Ca 4.4039 0.0000 1.8772
Ca 0.0000 0.0000 3.7545
Tl 2.2020 -2.0562 2.8159
Tl 2.3477 2.2020 0.9386
Tl 2.2020 6.4601 -0.9386
Tl 2.0562 2.2020 4.6931

***

# 2
3
Lattice="5.6418 0.0000 0.0000 -2.8209 4.8859 0.0000 0.0000 0.0000 4.0545" Properties=species:S:1:pos:R:3 comment="SrCaTl | the Alexandria database | PBE | relaxed" space_group=P3m1 vol_a3_per_atom=37.3 ef_ev_per_fu=-0.66 mass_density_g_cm3=4.93 total_magnetization_mub_per_cell=0.000 final_energy_ev_per_atom=-2.23 pbc="T T T"
Sr 0.0000 0.0000 0.0000
Ca 0.0000 3.2573 2.0943
Tl 2.8209 1.6286 1.7775

***

# 3
16
Lattice="5.5939 0.0000 0.0000 0.0000 5.5939 0.0000 0.0000 0.0000 21.4455" Properties=species:S:1:pos:R:3 comment="Sr3Ca12Tl | the Alexandria database | PBE | relaxed" space_group=P4/mmm vol_a3_per_atom=41.9 ef_ev_per_fu=-0.55 mass_density_g_cm3=2.35 total_magnetization_mub_per_cell=0.000 final_energy_ev_per_atom=-2.00 pbc="T T T"
Sr 0.0000 0.0000 0.0000
Sr 0.0000 0.0000 5.6620
Sr 0.0000 0.0000 15.7835
Ca 0.0000 2.7970 2.8471
Ca 0.0000 2.7970 8.5483
Ca 0.0000 2.7970 12.8972
Ca 0.0000 2.7970 18.5984
Ca 2.7970 0.0000 2.8471
Ca 2.7970 0.0000 8.5483
Ca 2.7970 0.0000 12.8972
Ca 2.7970 0.0000 18.5984
Ca 2.7970 2.7970 0.0000
Ca 2.7970 2.7970 5.7516
Ca 2.7970 2.7970 10.7227
Ca 2.7970 2.7970 15.6939
Tl 0.0000 0.0000 10.7227

***

Repeat the first record exactly.
8
Lattice="-4.4039 4.4039 3.7545 4.4039 -4.4039 3.7545 4.4039 4.4039 -3.7545" Properties=species:S:1:pos:R:3 comment="SrCaTl2 | the Alexandria database | PBE | relaxed" space_group=I-42d vol_a3_per_atom=36.4 ef_ev_per_fu=-0.54 mass_density_g_cm3=6.12 total_magnetization_mub_per_cell=0.000 final_energy_ev_per_atom=-2.24 pbc="T T T"
Sr 0.0000 0.0000 0.0000
Sr 0.0000 4.4039 1.8772
Ca 4.4039 0.0000 1.8772
Ca 0.0000 0.0000 3.7545
Tl 2.2020 -2.0562 2.8159
Tl 2.3477 2.2020 0.9386
Tl 2.2020 6.4601 -0.9386
Tl 2.0562 2.2020 4.6931